A relaxed structure of CsMn2F, computed with GGA+U.

a b c (Å): 5.8397 5.8397 5.8397
angles (deg): 60.00 60.00 60.00
Last column: nearest neighbours and their distance in Å.
Positions (direct):
Cs  0.5000  0.5000  0.5000  8 Mn 3.58
Mn  0.2500  0.2500  0.2500  4 F 3.58, 4 Cs 3.58
Mn  0.7500  0.7500  0.7500  4 F 3.58, 4 Cs 3.58
F  0.0000  0.0000  0.0000  8 Mn 3.58

- symmetry = Fm-3m
- calculated total energy (eV per atom) = -4.0581